Entry 1:
Material: LiMnNi4
Method: DFT, PBE
State: optimized geometry

POSCAR file:
```
LiMnNi4
1.0
5.0302 0.0000 0.0000
2.3731 5.0500 0.0000
1.2059 1.2797 5.3725
Li Mn Ni
2 2 8
Direct
0.0416 0.0941 0.1723
0.9584 0.9059 0.8277
0.2885 0.5700 0.1804
0.7115 0.4300 0.8196
0.1244 0.2439 0.5083
0.2180 0.4139 0.8250
0.3795 0.7537 0.4995
0.4573 0.9182 0.8384
0.5427 0.0818 0.1616
0.6205 0.2463 0.5005
0.7820 0.5861 0.1750
0.8756 0.7561 0.4917
```

D(E_F)	14.76	states/eV/cell
DFT formation energy	-0.002	eV/atom
volume	136.5	Å³/cell
energy above the lowest structure with this stoichiometry	11	kJ/mol of formula units



Entry 2:
Material: LiMnNi
Method: DFT, PBE
State: optimized geometry

POSCAR file:
```
LiMnNi
1.0
5.4746 0.0000 0.0000
0.0000 5.4746 0.0000
0.0000 0.0000 5.4746
Li Mn Ni
4 4 4
Direct
0.0000 0.0000 0.0000
0.0000 0.5000 0.5000
0.5000 0.0000 0.5000
0.5000 0.5000 0.0000
0.2500 0.2500 0.2500
0.2500 0.7500 0.7500
0.7500 0.2500 0.7500
0.7500 0.7500 0.2500
0.2500 0.2500 0.7500
0.2500 0.7500 0.2500
0.7500 0.2500 0.2500
0.7500 0.7500 0.7500
```

D(E_F)	2.02	states/eV/cell
DFT formation energy	0.608	eV/atom
volume	164.1	Å³/cell
energy above the lowest structure with this stoichiometry	141	kJ/mol of formula units



no.,E_tot (eV/atom)
1,-5.704
2,-5.014